Record 1
First-principles (GGA-PBE) data for a geometry-optimized Pm3Nd6Mg structure, as listed in Alexandria.

Values from the calculation:
For the formation energy, the calculation gives 0.1098 eV/atom. The energy relative to the lowest polymorph listed for this composition is 9 meV/atom. The magnetization comes out at 0.000 μB/atom. The value obtained for the calculated density is 6.36 g/cm³.

Lattice parameters (Å, degrees): 10.6498 12.0786 5.3812 90.00 90.00 90.00
Element x y z (fractional)
Pm 0.0000 0.0000 0.0000
Pm 0.1198 0.2183 0.5000
Pm 0.3802 0.7183 0.0000
Pm 0.5000 0.5000 0.5000
Pm 0.6198 0.2817 0.0000
Pm 0.8802 0.7817 0.5000
Nd 0.0703 0.7475 0.0000
Nd 0.1746 0.5812 0.5000
Nd 0.2147 0.8871 0.5000
Nd 0.2853 0.3871 0.0000
Nd 0.3254 0.0812 0.0000
Nd 0.4297 0.2475 0.5000
Nd 0.5703 0.7525 0.5000
Nd 0.6746 0.9188 0.0000
Nd 0.7147 0.6129 0.0000
Nd 0.7853 0.1129 0.5000
Nd 0.8254 0.4188 0.5000
Nd 0.9297 0.2525 0.0000
Mg 0.0000 0.5000 0.0000
Mg 0.5000 0.0000 0.5000


Record 2
First-principles (GGA-PBE) data for a geometry-optimized PmNd6Mg2 structure, as listed in Alexandria.

Values from the calculation:
For the formation energy, the calculation gives 0.0878 eV/atom. The energy relative to the lowest polymorph listed for this composition is 28 meV/atom. The magnetization comes out at 0.000 μB/atom. The value obtained for the calculated density is 5.89 g/cm³.

Lattice parameters (Å, degrees): 11.3336 11.3336 5.2081 90.06 90.06 63.21
Element x y z (fractional)
Pm 0.2490 0.7510 0.7500
Pm 0.7510 0.2490 0.2500
Nd 0.0099 0.7908 0.2498
Nd 0.1120 0.5175 0.7491
Nd 0.2092 0.9901 0.2502
Nd 0.3273 0.4987 0.2495
Nd 0.4825 0.8880 0.7509
Nd 0.4987 0.3273 0.7495
Nd 0.5013 0.6727 0.2505
Nd 0.5175 0.1120 0.2491
Nd 0.6727 0.5013 0.7505
Nd 0.7908 0.0099 0.7498
Nd 0.8880 0.4825 0.2509
Nd 0.9901 0.2092 0.7502
Mg 0.1900 0.2923 0.2482
Mg 0.2923 0.1900 0.7482
Mg 0.7077 0.8100 0.2518
Mg 0.8100 0.7077 0.7518


Record 3
First-principles (GGA-PBE) data for a geometry-optimized Pm2Nd7Mg2 structure, as listed in Alexandria.

Values from the calculation:
For the formation energy, the calculation gives 0.0574 eV/atom. The energy relative to the lowest polymorph listed for this composition is 0 meV/atom. The magnetization comes out at 0.000 μB/atom. The value obtained for the calculated density is 6.09 g/cm³.

Lattice parameters (Å, degrees): 6.6735 6.6735 8.7029 101.90 101.90 95.17
Element x y z (fractional)
Pm 0.1783 0.8217 0.0000
Pm 0.8217 0.1783 0.0000
Nd 0.0291 0.3861 0.6777
Nd 0.3573 0.3573 0.0843
Nd 0.3861 0.0291 0.6777
Nd 0.5000 0.5000 0.5000
Nd 0.6139 0.9709 0.3223
Nd 0.6427 0.6427 0.9157
Nd 0.9709 0.6139 0.3223
Mg 0.1144 0.1144 0.3341
Mg 0.8856 0.8856 0.6659


| no. | DOS at the Fermi energy (states/eV/f.u.) |
| --- | --- |
| 1 | 12.65 |
| 2 | 11.47 |
| 3 | 16.00 |